Entry 1:
{
  "formula": "ZnCuTc2",
  "functional": "GGA-PBE",
  "state": "relaxed",
  "cell": [[4.3768, -1.3440, 0.0000], [4.3768, 1.3440, 0.0000], [-0.6126, 0.0000, 4.7431]],
  "species": ["Zn", "Cu", "Tc", "Tc"],
  "fractional_positions": [[0.0000, 0.0000, 0.0000], [0.7481, 0.7481, 0.1995], [0.2497, 0.2497, 0.6993], [0.4943, 0.4943, 0.4954]],
  "formation_enthalpy_0k_mev_per_atom": 119,
  "m_tot_mub_per_cell": 0.00,
  "space_group": "No. 8"
}

***

Entry 2:
{
  "formula": "ZnCuTc2",
  "functional": "GGA-PBE",
  "state": "relaxed",
  "cell": [[0.0000, 3.0298, 3.0298], [3.0298, 0.0000, 3.0298], [3.0298, 3.0298, 0.0000]],
  "species": ["Zn", "Cu", "Tc", "Tc"],
  "fractional_positions": [[0.0000, 0.0000, 0.0000], [0.7500, 0.7500, 0.7500], [0.2500, 0.2500, 0.2500], [0.5000, 0.5000, 0.5000]],
  "formation_enthalpy_0k_mev_per_atom": 166,
  "m_tot_mub_per_cell": 0.00,
  "space_group": "No. 216"
}

***

Taking the records one at a time from the top gives D(E_F) values of 3.0; 3.0 states/eV/cell.
Taking the records one at a time from the top gives volume values of 13.950; 13.907 Å³ per atom.